# 1
A plane-wave DFT calculation with PBE was carried out for an optimized crystal structure of LaPtBr2.

Cell lengths 5.1490, 5.1490, 5.1490 Å; angles 60.00, 60.00, 60.00 degrees
Element x y z (fractional)
Br  0.2500  0.2500  0.2500
Br  0.7500  0.7500  0.7500
Pt  0.5000  0.5000  0.5000
La  0.0000  0.0000  0.0000

Summary:
Energy   -4.350 eV/atom
Space-group type   Fm-3m, No. 225
M_tot   0.00 μB per atom
E_form (uncorrected)   -0.7717 eV/atom


# 2
A plane-wave DFT calculation with PBE was carried out for an optimized crystal structure of La4Pt2Br5.

Cell lengths 4.0945, 8.5573, 14.1893 Å; angles 107.55, 98.30, 90.00 degrees
Element x y z (fractional)
Br  0.8201  0.0823  0.6403
Br  0.1799  0.4420  0.3597
Br  0.1799  0.9177  0.3597
Br  0.5000  0.0000  0.0000
Br  0.8201  0.5580  0.6403
La  0.0000  0.7058  0.0000
La  0.0000  0.2942  0.0000
La  0.6538  0.6538  0.3076
La  0.3462  0.3462  0.6924
Pt  0.4488  0.4488  0.8976
Pt  0.5512  0.5512  0.1024

Summary:
Energy   -5.123 eV/atom
Space-group type   Immm, No. 71
M_tot   0.00 μB per atom
E_form (uncorrected)   -1.4721 eV/atom


Copy entry 1 word for word.
A plane-wave DFT calculation with PBE was carried out for an optimized crystal structure of LaPtBr2.

Cell lengths 5.1490, 5.1490, 5.1490 Å; angles 60.00, 60.00, 60.00 degrees
Element x y z (fractional)
Br  0.2500  0.2500  0.2500
Br  0.7500  0.7500  0.7500
Pt  0.5000  0.5000  0.5000
La  0.0000  0.0000  0.0000

Summary:
Energy   -4.350 eV/atom
Space-group type   Fm-3m, No. 225
M_tot   0.00 μB per atom
E_form (uncorrected)   -0.7717 eV/atom


Which of these has the highest energy? LaPtBr2


Among the records above, which one has the highest E_form (uncorrected)? LaPtBr2